(1)
Below is Tl3C2 at its PBEsol-relaxed geometry, with properties calculated at the meta-GGA SCAN level.

CIF file:
```
data_Tl3C2
_chemical_formula_sum 'Tl3 C2'
_space_group_name_H-M_alt 'P 1'
_space_group_IT_number 1
_cell_length_a 3.599
_cell_length_b 3.599
_cell_length_c 8.279
_cell_angle_alpha 77.45
_cell_angle_beta 77.45
_cell_angle_gamma 60.00
loop_
_space_group_symop_operation_xyz
'x,y,z'
loop_
_atom_site_label
_atom_site_fract_x
_atom_site_fract_y
_atom_site_fract_z
_atom_site_occupancy
C1 0.607 0.607 0.178 1
Tl1 0.780 0.780 0.660 1
Tl2 0.000 0.000 0.000 1
Tl3 0.220 0.220 0.340 1
C2 0.393 0.393 0.822 1
```

Computed properties:
* formation energy from the elements: 1.695 eV per atom
* DOS at the Fermi energy: 0.564 states/eV per atom
* V: 18.0 Å³/atom
* crystal system: trigonal

(2)
Below is TlWC3 at its PBEsol-relaxed geometry, with properties calculated at the meta-GGA SCAN level.

CIF file:
```
data_TlWC3
_chemical_formula_sum 'Tl1 W1 C3'
_space_group_name_H-M_alt 'P 1'
_space_group_IT_number 1
_cell_length_a 4.132
_cell_length_b 4.132
_cell_length_c 4.132
_cell_angle_alpha 90.00
_cell_angle_beta 90.00
_cell_angle_gamma 90.00
loop_
_space_group_symop_operation_xyz
'x,y,z'
loop_
_atom_site_label
_atom_site_fract_x
_atom_site_fract_y
_atom_site_fract_z
_atom_site_occupancy
C1 0.000 0.000 0.500 1
W1 0.500 0.500 0.500 1
C2 0.000 0.500 0.000 1
Tl1 0.000 0.000 0.000 1
C3 0.500 0.000 0.000 1
```

Computed properties:
* formation energy from the elements: 4.142 eV per atom
* DOS at the Fermi energy: 0.668 states/eV per atom
* V: 14.1 Å³/atom
* distance to the lowest polymorph of the same formula: 226.8 kJ/mol of atoms
* crystal system: cubic

(3)
Below is TlWC3 at its PBEsol-relaxed geometry, with properties calculated at the meta-GGA SCAN level.

CIF file:
```
data_TlWC3
_chemical_formula_sum 'Tl1 W1 C3'
_space_group_name_H-M_alt 'P 1'
_space_group_IT_number 1
_cell_length_a 4.157
_cell_length_b 4.157
_cell_length_c 4.157
_cell_angle_alpha 90.00
_cell_angle_beta 90.00
_cell_angle_gamma 90.00
loop_
_space_group_symop_operation_xyz
'x,y,z'
loop_
_atom_site_label
_atom_site_fract_x
_atom_site_fract_y
_atom_site_fract_z
_atom_site_occupancy
Tl1 0.500 0.500 0.500 1
C1 0.000 0.500 0.000 1
C2 0.500 0.000 0.000 1
C3 0.000 0.000 0.500 1
W1 0.000 0.000 0.000 1
```

Computed properties:
* formation energy from the elements: 1.791 eV per atom
* DOS at the Fermi energy: 0.554 states/eV per atom
* V: 14.4 Å³/atom
* distance to the lowest polymorph of the same formula: 0.0 kJ/mol of atoms
* crystal system: cubic

(4)
Below is TlWC2 at its PBEsol-relaxed geometry, with properties calculated at the meta-GGA SCAN level.

CIF file:
```
data_TlWC2
_chemical_formula_sum 'Tl2 W2 C4'
_space_group_name_H-M_alt 'P 1'
_space_group_IT_number 1
_cell_length_a 5.184
_cell_length_b 5.986
_cell_length_c 5.184
_cell_angle_alpha 64.34
_cell_angle_beta 90.00
_cell_angle_gamma 115.66
loop_
_space_group_symop_operation_xyz
'x,y,z'
loop_
_atom_site_label
_atom_site_fract_x
_atom_site_fract_y
_atom_site_fract_z
_atom_site_occupancy
W1 0.250 0.500 0.250 1
Tl1 0.000 0.000 0.000 1
C1 0.375 0.250 0.199 1
W2 0.500 0.000 0.500 1
C2 0.551 0.750 0.375 1
Tl2 0.750 0.500 0.750 1
C3 0.875 0.250 0.551 1
C4 0.199 0.750 0.875 1
```

Computed properties:
* formation energy from the elements: 1.026 eV per atom
* DOS at the Fermi energy: 0.534 states/eV per atom
* V: 15.9 Å³/atom
* distance to the lowest polymorph of the same formula: 0.0 kJ/mol of atoms
* crystal system: tetragonal

(5)
Below is TlWC2 at its PBEsol-relaxed geometry, with properties calculated at the meta-GGA SCAN level.

CIF file:
```
data_TlWC2
_chemical_formula_sum 'Tl1 W1 C2'
_space_group_name_H-M_alt 'P 1'
_space_group_IT_number 1
_cell_length_a 4.078
_cell_length_b 4.078
_cell_length_c 4.078
_cell_angle_alpha 60.00
_cell_angle_beta 60.00
_cell_angle_gamma 60.00
loop_
_space_group_symop_operation_xyz
'x,y,z'
loop_
_atom_site_label
_atom_site_fract_x
_atom_site_fract_y
_atom_site_fract_z
_atom_site_occupancy
W1 0.000 0.000 0.000 1
C1 0.250 0.250 0.250 1
Tl1 0.500 0.500 0.500 1
C2 0.750 0.750 0.750 1
```

Computed properties:
* formation energy from the elements: 2.593 eV per atom
* DOS at the Fermi energy: 0.681 states/eV per atom
* V: 12.0 Å³/atom
* distance to the lowest polymorph of the same formula: 151.2 kJ/mol of atoms
* crystal system: cubic

(6)
Below is Tl2WC at its PBEsol-relaxed geometry, with properties calculated at the meta-GGA SCAN level.

CIF file:
```
data_Tl2WC
_chemical_formula_sum 'Tl2 W1 C1'
_space_group_name_H-M_alt 'P 1'
_space_group_IT_number 1
_cell_length_a 4.707
_cell_length_b 4.707
_cell_length_c 4.707
_cell_angle_alpha 60.00
_cell_angle_beta 60.00
_cell_angle_gamma 60.00
loop_
_space_group_symop_operation_xyz
'x,y,z'
loop_
_atom_site_label
_atom_site_fract_x
_atom_site_fract_y
_atom_site_fract_z
_atom_site_occupancy
W1 0.500 0.500 0.500 1
Tl1 0.750 0.750 0.750 1
C1 0.000 0.000 0.000 1
Tl2 0.250 0.250 0.250 1
```

Computed properties:
* formation energy from the elements: 2.438 eV per atom
* DOS at the Fermi energy: 0.666 states/eV per atom
* V: 18.4 Å³/atom
* crystal system: cubic

(7)
Below is Tl3ZnC at its PBEsol-relaxed geometry, with properties calculated at the meta-GGA SCAN level.

CIF file:
```
data_Tl3ZnC
_chemical_formula_sum 'Tl3 Zn1 C1'
_space_group_name_H-M_alt 'P 1'
_space_group_IT_number 1
_cell_length_a 4.890
_cell_length_b 4.890
_cell_length_c 4.890
_cell_angle_alpha 90.00
_cell_angle_beta 90.00
_cell_angle_gamma 90.00
loop_
_space_group_symop_operation_xyz
'x,y,z'
loop_
_atom_site_label
_atom_site_fract_x
_atom_site_fract_y
_atom_site_fract_z
_atom_site_occupancy
Tl1 0.000 0.500 0.000 1
Tl2 0.000 0.000 0.500 1
C1 0.000 0.000 0.000 1
Zn1 0.500 0.500 0.500 1
Tl3 0.500 0.000 0.000 1
```

Computed properties:
* formation energy from the elements: 1.092 eV per atom
* DOS at the Fermi energy: 0.610 states/eV per atom
* V: 23.4 Å³/atom
* crystal system: cubic

(8)
Below is Tm2C3 at its PBEsol-relaxed geometry, with properties calculated at the meta-GGA SCAN level.

CIF file:
```
data_Tm2C3
_chemical_formula_sum 'Tm8 C12'
_space_group_name_H-M_alt 'P 1'
_space_group_IT_number 1
_cell_length_a 6.918
_cell_length_b 6.918
_cell_length_c 6.918
_cell_angle_alpha 109.47
_cell_angle_beta 109.47
_cell_angle_gamma 109.47
loop_
_space_group_symop_operation_xyz
'x,y,z'
loop_
_atom_site_label
_atom_site_fract_x
_atom_site_fract_y
_atom_site_fract_z
_atom_site_occupancy
Tm1 0.400 0.000 0.000 1
Tm2 0.600 0.600 0.100 1
Tm3 0.000 0.500 0.400 1
Tm4 0.900 0.000 0.000 1
Tm5 0.500 0.400 0.500 1
C1 0.750 0.041 0.291 1
C2 0.791 0.750 0.541 1
C3 0.959 0.750 0.709 1
C4 0.250 0.459 0.209 1
C5 0.459 0.709 0.750 1
C6 0.541 0.250 0.791 1
C7 0.250 0.291 0.041 1
Tm6 0.000 0.500 0.900 1
C8 0.041 0.791 0.250 1
C9 0.750 0.209 0.459 1
C10 0.291 0.541 0.750 1
C11 0.209 0.959 0.250 1
Tm7 0.100 0.100 0.600 1
Tm8 0.500 0.900 0.500 1
C12 0.709 0.250 0.959 1
```

Computed properties:
* formation energy from the elements: -0.400 eV per atom
* DOS at the Fermi energy: 0.256 states/eV per atom
* V: 12.7 Å³/atom
* crystal system: cubic

What is the DOS at the Fermi energy in the sixth record? 0.666 states/eV per atom